First-principles (PBE-GGA) data for a relaxed structure of Co2AsP, as listed in the Alexandria database.

Output
The polymorph energy (0 for the lowest one) is 0.357 eV/atom. As for the raw total energy: -5.957 eV/atom. The formation energy comes out at 111 meV per atom.

Cell lengths 3.416, 3.416, 8.425 Å; angles 90.00, 90.00, 90.00 degrees
Positions (direct):
Co1 0.000 0.000 0.000
Co2 0.000 0.500 0.250
Co3 0.500 0.000 0.750
Co4 0.500 0.500 0.500
As1 0.000 0.000 0.500
As2 0.500 0.500 0.000
P1 0.000 0.500 0.750
P2 0.500 0.000 0.250